The following is a DFT calculation (PBE-GGA) of a relaxed Be2CoAg crystal.

Cell and atoms, written as CIF:
```
data_Be2CoAg
_space_group_name_H-M_alt 'P 1'
_space_group_IT_number 1
_cell_length_a 4.477
_cell_length_b 4.477
_cell_length_c 4.053
_cell_angle_alpha 73.21
_cell_angle_beta 73.21
_cell_angle_gamma 34.46
loop_
_space_group_symop_operation_xyz
'x,y,z'
loop_
_atom_site_label
_atom_site_type_symbol
_atom_site_fract_x
_atom_site_fract_y
_atom_site_fract_z
Co1 Co 0.485 0.485 0.567
Ag1 Ag 0.261 0.261 0.199
Be1 Be 0.741 0.741 0.707
Be2 Be 0.013 0.013 0.026
```

Energy of formation (eV/atom): 0.13
M_tot (Bohr magnetons per cell): 0.43
Polymorph energy (0 for the lowest one) (meV/atom): 250
D(E_F) (states/eV/cell): 3.22